(1)
! TbNdCo | the Alexandria database | PBE | optimized geometry; values from VASP
! ΔH_f (0 K) in eV per atom: -0.028
! Magnetic moment in μB per formula unit: 0.59
&SYSTEM
  ibrav = 0, nat = 6, ntyp = 3
/
ATOMIC_SPECIES
Co 58.93 Co.upf
Tb 158.93 Tb.upf
Nd 144.24 Nd.upf
ATOMIC_POSITIONS angstrom
Co -4.6917 0.8095 0.1710
Co -5.8456 -2.4330 1.3910
Tb -4.6028 3.2065 1.7302
Tb -4.2100 -4.3535 2.7444
Nd -3.0865 -1.3005 1.5753
Nd -5.7262 0.1536 2.8994
CELL_PARAMETERS angstrom
-1.7245 -0.4765 -2.9126
-2.2129 -6.0968 2.3199
-3.7677 4.6568 3.4686

=====

(2)
! TbNd3Co2 | the Alexandria database | PBE | optimized geometry; values from VASP
! ΔH_f (0 K) in eV per atom: -0.076
! Magnetic moment in μB per formula unit: 0.00
&SYSTEM
  ibrav = 0, nat = 12, ntyp = 3
/
ATOMIC_SPECIES
Nd 144.24 Nd.upf
Tb 158.93 Tb.upf
Co 58.93 Co.upf
ATOMIC_POSITIONS angstrom
Nd -7.3661 -6.4319 4.0531
Nd -3.5405 -10.9668 4.4416
Nd 0.5112 -7.6456 -0.5334
Nd -4.5803 -5.6040 1.5976
Nd -2.2746 -8.4734 1.9221
Nd -3.3144 -3.1107 -0.9219
Tb -1.0304 -4.8146 1.2711
Tb -5.8245 -9.2628 2.2487
Co -3.6908 -2.9001 1.8225
Co -3.1641 -11.1773 1.6972
Co -6.1921 -9.0419 4.9802
Co -0.6628 -5.0355 -1.4604
CELL_PARAMETERS angstrom
-1.8841 -1.8253 -2.7530
2.6919 -8.2108 0.9753
-7.6626 -4.0413 5.2974

=====

(3)
! Tb3Nd3Co4 | the Alexandria database | PBE | optimized geometry; values from VASP
! ΔH_f (0 K) in eV per atom: -0.058
! Magnetic moment in μB per formula unit: 0.00
&SYSTEM
  ibrav = 0, nat = 10, ntyp = 3
/
ATOMIC_SPECIES
Nd 144.24 Nd.upf
Co 58.93 Co.upf
Tb 158.93 Tb.upf
ATOMIC_POSITIONS angstrom
Nd -1.9361 -3.2048 7.2718
Nd -3.2657 -3.9174 4.1745
Nd -2.3634 -0.9618 2.6515
Co -0.5718 -2.1871 4.7653
Co 1.6489 -2.3332 4.4890
Co 0.6800 -4.0091 8.2803
Co 0.0087 -0.4856 1.0224
Tb 0.3458 -4.9102 5.3189
Tb 3.5656 -4.3667 3.3246
Tb 0.0544 -3.3804 2.1677
CELL_PARAMETERS angstrom
-0.4720 -3.7839 -1.7933
5.6109 -2.5938 3.9961
-4.7525 -1.9121 5.2855